P) # CuNiF3

A geometry-optimized CuNiF3 structure (GGA+U, Alexandria via LeMat-Bulk).

## Properties
- Magnetization: 2.0 μB/cell
- Space-group type: Pm-3m (221)

a b c (Å): 3.9493 3.9493 3.9493
angles (deg): 90.00 90.00 90.00
Atoms (fractional coordinates):
Ni  0.0000  0.0000  0.0000
Cu  0.5000  0.5000  0.5000
F  0.0000  0.5000  0.0000
F  0.0000  0.0000  0.5000
F  0.5000  0.0000  0.0000


Q) # CuNiF3

A geometry-optimized CuNiF3 structure (GGA+U, Alexandria via LeMat-Bulk).

## Properties
- Magnetization: 3.8 μB/cell
- Space-group type: P-6c2 (188)

a b c (Å): 5.3268 5.4301 5.4301
angles (deg): 120.00 90.00 90.00
Atoms (fractional coordinates):
Cu  0.5000  0.6667  0.3333
Cu  0.0000  0.6667  0.3333
Ni  0.0000  0.0000  0.0000
Ni  0.5000  0.0000  0.0000
F  0.7500  0.2970  0.2700
F  0.7500  0.9730  0.7030
F  0.7500  0.7300  0.0270
F  0.2500  0.7300  0.7030
F  0.2500  0.2970  0.0270
F  0.2500  0.9730  0.2700


Result of the stability comparison: P) is the least stable of them.